[1]
This record from Alexandria describes crystalline Hf3Al at its relaxed geometry. The functional is PBEsol. Values from VASP.

The structure in Quantum ESPRESSO input format:
```
&SYSTEM
  ibrav = 0, nat = 8, ntyp = 2
/
ATOMIC_SPECIES
Hf 178.49 Hf.upf
Al 26.98 Al.upf
CELL_PARAMETERS angstrom
4.946 0.000 0.000
0.000 6.062 0.000
0.000 -3.031 5.250
ATOMIC_POSITIONS angstrom
Hf 1.237 0.000 1.784
Hf 1.237 -1.486 4.358
Hf 1.237 1.486 4.358
Al 1.237 3.031 1.750
Al 3.710 0.000 3.500
Hf 3.710 3.031 3.466
Hf 3.710 4.517 0.892
Hf 3.710 1.545 0.892
```

VASP energy, eV/atom: -9.136

[2]
This record from Alexandria describes crystalline AlReNi at its relaxed geometry. The functional is PBEsol. Values from VASP.

The structure in Quantum ESPRESSO input format:
```
&SYSTEM
  ibrav = 0, nat = 3, ntyp = 3
/
ATOMIC_SPECIES
Ni 58.69 Ni.upf
Al 26.98 Al.upf
Re 186.21 Re.upf
CELL_PARAMETERS angstrom
-3.073 2.045 1.718
-0.915 -0.614 3.919
0.771 2.901 2.749
ATOMIC_POSITIONS angstrom
Ni -1.608 2.166 4.193
Al 0.000 0.000 0.000
Re -0.804 1.083 2.096
```

VASP energy, eV/atom: -7.163

[3]
This record from Alexandria describes crystalline Zn4Ni5 at its relaxed geometry. The functional is PBEsol. Values from VASP.

The structure in Quantum ESPRESSO input format:
```
&SYSTEM
  ibrav = 0, nat = 9, ntyp = 2
/
ATOMIC_SPECIES
Ni 58.69 Ni.upf
Zn 65.41 Zn.upf
CELL_PARAMETERS angstrom
-1.217 -2.825 -1.949
-3.366 -3.136 3.246
-4.805 1.475 -2.538
ATOMIC_POSITIONS angstrom
Ni 0.000 0.000 0.000
Zn -4.348 0.009 -0.699
Ni -1.991 -0.461 -1.489
Zn -3.428 -2.455 -1.104
Ni -3.066 -3.980 0.881
Zn -3.824 -1.670 1.408
Ni -4.031 -0.889 -2.997
Ni -1.517 -1.980 0.416
Zn -5.961 -2.031 -0.136
```

Offset from the most stable computed form, eV per formula unit: 0.00
VASP energy, eV/atom: -4.305

[4]
This record from Alexandria describes crystalline BaMg2Zn at its relaxed geometry. The functional is PBEsol. Values from VASP.

The structure in Quantum ESPRESSO input format:
```
&SYSTEM
  ibrav = 0, nat = 4, ntyp = 3
/
ATOMIC_SPECIES
Mg 24.30 Mg.upf
Zn 65.41 Zn.upf
Ba 137.33 Ba.upf
CELL_PARAMETERS angstrom
3.757 0.000 0.000
0.000 4.656 0.000
-1.878 0.000 6.591
ATOMIC_POSITIONS angstrom
Mg 0.000 2.328 4.139
Zn 0.000 0.000 2.738
Mg 1.878 0.000 5.008
Ba 1.878 2.328 1.065
```

VASP energy, eV/atom: -1.811

[5]
This record from Alexandria describes crystalline Si2HgRu at its relaxed geometry. The functional is PBEsol. Values from VASP.

The structure in Quantum ESPRESSO input format:
```
&SYSTEM
  ibrav = 0, nat = 4, ntyp = 3
/
ATOMIC_SPECIES
Si 28.09 Si.upf
Ru 101.07 Ru.upf
Hg 200.59 Hg.upf
CELL_PARAMETERS angstrom
3.006 0.043 0.000
-0.043 3.006 0.000
0.000 0.000 7.195
ATOMIC_POSITIONS angstrom
Si 1.482 1.524 5.910
Ru 1.482 1.524 1.301
Si 0.000 0.000 0.190
Hg 0.000 0.000 3.392
```

E_form (uncorrected), eV per formula unit: 0.2
VASP energy, eV/atom: -5.501

[6]
This record from Alexandria describes crystalline Cu2Au at its relaxed geometry. The functional is PBEsol. Values from VASP.

The structure in Quantum ESPRESSO input format:
```
&SYSTEM
  ibrav = 0, nat = 6, ntyp = 2
/
ATOMIC_SPECIES
Cu 63.55 Cu.upf
Au 196.97 Au.upf
CELL_PARAMETERS angstrom
2.705 0.000 0.000
0.000 4.370 0.000
-1.353 0.000 6.862
ATOMIC_POSITIONS angstrom
Cu 0.000 3.278 1.424
Cu 1.353 1.093 5.439
Cu 0.000 3.278 6.221
Au 1.353 3.278 3.974
Cu 1.353 1.093 0.641
Au 0.000 1.093 2.888
```

Offset from the most stable computed form, eV per formula unit: 0.27
VASP energy, eV/atom: -4.148

[7]
This record from Alexandria describes crystalline CsAlAsBr2 at its relaxed geometry. The functional is PBEsol. Values from VASP.

The structure in Quantum ESPRESSO input format:
```
&SYSTEM
  ibrav = 0, nat = 5, ntyp = 4
/
ATOMIC_SPECIES
Al 26.98 Al.upf
Br 79.90 Br.upf
Cs 132.91 Cs.upf
As 74.92 As.upf
CELL_PARAMETERS angstrom
-2.342 -3.787 -1.993
3.174 0.358 -4.409
3.568 -3.414 2.292
ATOMIC_POSITIONS angstrom
Al 0.000 0.000 0.000
Br 1.587 0.179 -2.204
Br 1.784 -1.707 1.146
Cs 2.200 -3.421 -2.055
As -1.171 -1.893 -0.997
```

E_form (uncorrected), eV per formula unit: -3.3
VASP energy, eV/atom: -3.440

[8]
This record from Alexandria describes crystalline RbLuBeF6 at its relaxed geometry. The functional is PBEsol. Values from VASP.

The structure in Quantum ESPRESSO input format:
```
&SYSTEM
  ibrav = 0, nat = 18, ntyp = 4
/
ATOMIC_SPECIES
F 19.00 F.upf
Be 9.01 Be.upf
Lu 174.97 Lu.upf
Rb 85.47 Rb.upf
CELL_PARAMETERS angstrom
5.691 0.000 0.000
0.000 6.367 -0.031
0.000 -2.826 6.441
ATOMIC_POSITIONS angstrom
F 5.684 1.991 0.182
F 5.523 -0.135 3.847
Be 1.423 3.377 3.437
F 4.268 5.585 1.694
F 0.168 3.677 2.563
Lu 4.268 3.366 1.111
Lu 1.423 0.175 5.299
Be 4.268 0.164 2.973
F 2.852 1.991 0.182
Rb 1.423 -0.087 1.368
Rb 4.268 3.629 5.042
F 0.007 1.551 6.228
F 4.268 1.624 2.485
F 3.013 -0.135 3.847
F 1.423 -2.044 4.716
F 2.839 1.551 6.228
F 1.423 1.917 3.925
F 2.677 3.677 2.563
```

E_form (uncorrected), eV per formula unit: -32.8
VASP energy, eV/atom: -6.032

[9]
This record from Alexandria describes crystalline BaAl2Rh at its relaxed geometry. The functional is PBEsol. Values from VASP.

The structure in Quantum ESPRESSO input format:
```
&SYSTEM
  ibrav = 0, nat = 4, ntyp = 3
/
ATOMIC_SPECIES
Al 26.98 Al.upf
Ba 137.33 Ba.upf
Rh 102.91 Rh.upf
CELL_PARAMETERS angstrom
-2.213 -1.730 1.265
3.788 -2.388 3.361
-2.621 4.629 1.746
ATOMIC_POSITIONS angstrom
Al 1.894 -1.194 1.681
Al -1.310 2.315 0.873
Ba -1.106 -0.865 0.633
Rh -0.523 0.256 3.186
```

VASP energy, eV/atom: -4.240

[10]
This record from Alexandria describes crystalline KIN2 at its relaxed geometry. The functional is PBEsol. Values from VASP.

The structure in Quantum ESPRESSO input format:
```
&SYSTEM
  ibrav = 0, nat = 4, ntyp = 3
/
ATOMIC_SPECIES
N 14.01 N.upf
K 39.10 K.upf
I 126.90 I.upf
CELL_PARAMETERS angstrom
-0.455 -3.336 0.685
2.715 -2.011 0.625
0.244 -0.239 7.615
ATOMIC_POSITIONS angstrom
N 0.418 -0.768 5.157
N 2.085 -4.819 3.767
K 0.000 0.000 0.000
I 1.252 -2.793 4.462
```

E_form (uncorrected), eV per formula unit: 5.2
VASP energy, eV/atom: -3.700

[11]
This record from Alexandria describes crystalline K2SiCl at its relaxed geometry. The functional is PBEsol. Values from VASP.

The structure in Quantum ESPRESSO input format:
```
&SYSTEM
  ibrav = 0, nat = 4, ntyp = 3
/
ATOMIC_SPECIES
K 39.10 K.upf
Si 28.09 Si.upf
Cl 35.45 Cl.upf
CELL_PARAMETERS angstrom
3.400 0.000 0.000
0.000 3.711 0.000
-1.700 -1.856 9.397
ATOMIC_POSITIONS angstrom
K 1.700 0.000 3.976
K 1.700 1.856 8.093
Si 1.700 1.856 1.081
Cl 0.000 1.856 5.644
```

E_form (uncorrected), eV per formula unit: -1.9
Offset from the most stable computed form, eV per formula unit: 0.00
VASP energy, eV/atom: -2.970

[12]
This record from Alexandria describes crystalline SrCo2As at its relaxed geometry. The functional is PBEsol. Values from VASP.

The structure in Quantum ESPRESSO input format:
```
&SYSTEM
  ibrav = 0, nat = 4, ntyp = 3
/
ATOMIC_SPECIES
Co 58.93 Co.upf
Sr 87.62 Sr.upf
As 74.92 As.upf
CELL_PARAMETERS angstrom
-2.817 -2.256 1.171
1.316 -3.033 3.470
-1.688 1.165 4.332
ATOMIC_POSITIONS angstrom
Co -2.030 -2.131 3.304
Sr -1.408 -1.128 0.585
Co -1.158 -1.992 5.670
As -0.186 -0.934 3.901
```

VASP energy, eV/atom: -5.348